Version P
Tb4Sm3Ho4: relaxed, GGA-PBE.

a b c (Å): 10.9080 10.9080 10.9080
angles (deg): 161.36 117.98 65.38
Last column: nearest neighbours and their distance in Å.
Sites, in units of the cell vectors:
Tb  0.2181  0.2181  0.0000  6 Ho 3.37-3.52, 2 Tb 3.53, 2 Sm 3.64
Tb  0.2896  0.5000  0.7896  2 Ho 3.19, 2 Tb 3.53, 4 Sm 3.56
Tb  0.7104  0.5000  0.2104  2 Ho 3.19, 2 Tb 3.53, 4 Sm 3.56
Tb  0.7819  0.7819  0.0000  6 Ho 3.37-3.52, 2 Tb 3.53, 2 Sm 3.64
Sm  0.0000  0.0000  0.0000  2 Sm 3.53, 4 Tb 3.70
Sm  0.3917  0.8917  0.5000  2 Sm 3.53, 6 Tb 3.56-3.64, 4 Ho 3.57
Sm  0.6083  0.1083  0.5000  2 Sm 3.53, 6 Tb 3.56-3.64, 4 Ho 3.57
Ho  0.0724  0.3285  0.7439  4 Tb 3.19-3.52, 4 Ho 3.38-3.53, 2 Sm 3.57
Ho  0.4154  0.6715  0.7439  4 Tb 3.19-3.52, 4 Ho 3.38-3.53, 2 Sm 3.57
Ho  0.5846  0.3285  0.2561  4 Tb 3.19-3.52, 4 Ho 3.38-3.53, 2 Sm 3.57
Ho  0.9276  0.6715  0.2561  4 Tb 3.19-3.52, 4 Ho 3.38-3.53, 2 Sm 3.57

Results
For the magnetization, the calculation gives 0.0 μB/f.u.

Version Q
Tb4Sm3Ho4: relaxed, GGA-PBE.

a b c (Å): 10.5780 6.6514 6.6514
angles (deg): 50.61 90.00 90.00
Last column: nearest neighbours and their distance in Å.
Sites, in units of the cell vectors:
Tb  0.0000  0.0000  0.0000  3 Ho 3.27-3.44, 2 Sm 3.36, 4 Tb 3.61
Tb  0.2097  0.4809  0.4809  4 Ho 3.35-3.53, 4 Sm 3.58-3.69, 2 Tb 3.61
Tb  0.5000  0.9322  0.9322  4 Ho 3.07-3.30
Tb  0.7903  0.4809  0.4809  4 Ho 3.35-3.53, 4 Sm 3.58-3.69, 2 Tb 3.61
Sm  0.2031  0.7849  0.7849  5 Tb 3.36-3.69, 4 Ho 3.49-3.57, 1 Sm 3.63
Sm  0.5000  0.6340  0.6340  5 Tb 3.58-3.74, 7 Ho 3.59-3.74, 2 Sm 3.63
Sm  0.7969  0.7849  0.7849  5 Tb 3.36-3.69, 4 Ho 3.49-3.57, 1 Sm 3.63
Ho  0.0000  0.2717  0.2717  3 Tb 3.27-3.35, 2 Ho 3.47, 4 Sm 3.57
Ho  0.2877  0.1337  0.1337  4 Tb 3.30-3.48, 2 Ho 3.31-3.47, 4 Sm 3.49-3.62
Ho  0.5000  0.3356  0.3356  2 Tb 3.07, 2 Ho 3.31
Ho  0.7123  0.1337  0.1337  4 Tb 3.30-3.48, 2 Ho 3.31-3.47, 4 Sm 3.49-3.62

Results
For the magnetization, the calculation gives 0.0 μB/f.u.

Most stable = version Q

Version P
Tb6SmHo3: relaxed, GGA-PBE.

a b c (Å): 10.9740 10.9740 6.1902
angles (deg): 90.00 90.00 119.77
Last column: nearest neighbours and their distance in Å.
Sites, in units of the cell vectors:
Tb  0.0441  0.4637  0.0469  5 Tb 3.21-3.45, 2 Sm 3.28-3.45, 2 Ho 3.28-3.56
Tb  0.0454  0.9546  0.5000  1 Sm 3.34, 4 Ho 3.52-3.60, 2 Tb 3.54
Tb  0.2816  0.7184  0.7700  4 Tb 3.21-3.40, 1 Ho 3.35, 2 Sm 3.42
Tb  0.2899  0.3802  0.8765  4 Ho 3.41-3.62, 5 Tb 3.42-3.77
Tb  0.3802  0.2899  0.3765  4 Ho 3.41-3.62, 5 Tb 3.42-3.77
Tb  0.4637  0.0441  0.5469  5 Tb 3.21-3.45, 2 Sm 3.28-3.45, 2 Ho 3.28-3.56
Tb  0.5363  0.9559  0.0469  5 Tb 3.21-3.45, 2 Sm 3.28-3.45, 2 Ho 3.28-3.56
Tb  0.6198  0.7101  0.8765  4 Ho 3.41-3.62, 5 Tb 3.42-3.77
Tb  0.7101  0.6198  0.3765  4 Ho 3.41-3.62, 5 Tb 3.42-3.77
Tb  0.7184  0.2816  0.2700  4 Tb 3.21-3.40, 1 Ho 3.35, 2 Sm 3.42
Tb  0.9546  0.0454  0.0000  1 Sm 3.34, 4 Ho 3.52-3.60, 2 Tb 3.54
Tb  0.9559  0.5363  0.5469  5 Tb 3.21-3.45, 2 Sm 3.28-3.45, 2 Ho 3.28-3.56
Sm  0.2048  0.7952  0.2706  3 Ho 3.26-3.52, 7 Tb 3.28-3.45
Sm  0.7952  0.2048  0.7706  3 Ho 3.26-3.52, 7 Tb 3.28-3.45
Ho  0.0612  0.2816  0.4543  1 Sm 3.26, 6 Tb 3.28-3.60
Ho  0.2816  0.0612  0.9543  1 Sm 3.26, 6 Tb 3.28-3.60
Ho  0.3888  0.6112  0.3398  5 Tb 3.35-3.62, 1 Sm 3.52, 2 Ho 3.69
Ho  0.6112  0.3888  0.8398  5 Tb 3.35-3.62, 1 Sm 3.52, 2 Ho 3.69
Ho  0.7184  0.9388  0.4543  1 Sm 3.26, 6 Tb 3.28-3.60
Ho  0.9388  0.7184  0.9543  1 Sm 3.26, 6 Tb 3.28-3.60

Results
For the magnetization, the calculation gives 0.0 μB/f.u.

Version Q
Tb6SmHo3: relaxed, GGA-PBE.

a b c (Å): 11.5505 11.5505 6.3783
angles (deg): 90.00 90.00 130.73
Last column: nearest neighbours and their distance in Å.
Sites, in units of the cell vectors:
Tb  0.0151  0.9849  0.5000  4 Tb 3.25-3.62, 1 Sm 3.31, 4 Ho 3.53-3.57
Tb  0.1057  0.5431  0.9831  3 Ho 3.28-3.66, 3 Tb 3.38-3.58, 2 Sm 3.54-3.66
Tb  0.2605  0.3793  0.7395  3 Ho 3.32-3.53, 4 Tb 3.47-3.69
Tb  0.3015  0.6985  0.5207  1 Ho 3.14, 1 Sm 3.26, 2 Tb 3.43
Tb  0.3793  0.2605  0.2395  3 Ho 3.32-3.53, 4 Tb 3.47-3.69
Tb  0.4569  0.8943  0.9831  3 Ho 3.28-3.66, 3 Tb 3.38-3.58, 2 Sm 3.54-3.66
Tb  0.5431  0.1057  0.4831  3 Ho 3.28-3.66, 3 Tb 3.38-3.58, 2 Sm 3.54-3.66
Tb  0.6207  0.7395  0.7395  3 Ho 3.32-3.53, 4 Tb 3.47-3.69
Tb  0.6985  0.3015  0.0207  1 Ho 3.14, 1 Sm 3.26, 2 Tb 3.43
Tb  0.7395  0.6207  0.2395  3 Ho 3.32-3.53, 4 Tb 3.47-3.69
Tb  0.8943  0.4569  0.4831  3 Ho 3.28-3.66, 3 Tb 3.38-3.58, 2 Sm 3.54-3.66
Tb  0.9849  0.0151  0.0000  4 Tb 3.25-3.62, 1 Sm 3.31, 4 Ho 3.53-3.57
Sm  0.1609  0.8391  0.3022  4 Tb 3.26-3.54, 2 Ho 3.52
Sm  0.8391  0.1609  0.8022  4 Tb 3.26-3.54, 2 Ho 3.52
Ho  0.0423  0.2960  0.3265  2 Ho 3.26-3.40, 5 Tb 3.28-3.57, 1 Sm 3.52
Ho  0.2960  0.0423  0.8265  2 Ho 3.26-3.40, 5 Tb 3.28-3.57, 1 Sm 3.52
Ho  0.4189  0.5811  0.2160  3 Tb 3.14-3.43, 2 Ho 3.40
Ho  0.5811  0.4189  0.7160  3 Tb 3.14-3.43, 2 Ho 3.40
Ho  0.7040  0.9577  0.3265  2 Ho 3.26-3.40, 5 Tb 3.28-3.57, 1 Sm 3.52
Ho  0.9577  0.7040  0.8265  2 Ho 3.26-3.40, 5 Tb 3.28-3.57, 1 Sm 3.52

Results
For the magnetization, the calculation gives 0.0 μB/f.u.

Most stable = version Q

Version P
Tb4Sm3Ho2: relaxed, GGA-PBE.

a b c (Å): 10.1264 10.1264 6.0656
angles (deg): 95.48 95.48 69.90
Last column: nearest neighbours and their distance in Å.
Sites, in units of the cell vectors:
Tb  0.0484  0.8252  0.9527  3 Tb 3.34-3.44, 4 Sm 3.38-3.53, 1 Ho 3.58
Tb  0.1604  0.3829  0.1185  2 Ho 3.31-3.41, 4 Sm 3.39-3.53, 2 Tb 3.44-3.56
Tb  0.1748  0.9516  0.5473  3 Tb 3.34-3.44, 4 Sm 3.38-3.53, 1 Ho 3.58
Tb  0.3829  0.1604  0.6185  2 Ho 3.31-3.41, 4 Sm 3.39-3.53, 2 Tb 3.44-3.56
Tb  0.6171  0.8396  0.3815  2 Ho 3.31-3.41, 4 Sm 3.39-3.53, 2 Tb 3.44-3.56
Tb  0.8252  0.0484  0.4527  3 Tb 3.34-3.44, 4 Sm 3.38-3.53, 1 Ho 3.58
Tb  0.8396  0.6171  0.8815  2 Ho 3.31-3.41, 4 Sm 3.39-3.53, 2 Tb 3.44-3.56
Tb  0.9516  0.1748  0.0473  3 Tb 3.34-3.44, 4 Sm 3.38-3.53, 1 Ho 3.58
Sm  0.0162  0.3187  0.5830  7 Tb 3.39-3.53, 1 Ho 3.40
Sm  0.3187  0.0162  0.0830  7 Tb 3.39-3.53, 1 Ho 3.40
Sm  0.3479  0.6521  0.2500  2 Tb 3.38, 6 Ho 3.48-3.55
Sm  0.6521  0.3479  0.7500  2 Tb 3.38, 6 Ho 3.48-3.55
Sm  0.6813  0.9838  0.9170  7 Tb 3.39-3.53, 1 Ho 3.40
Sm  0.9838  0.6813  0.4170  7 Tb 3.39-3.53, 1 Ho 3.40
Ho  0.2868  0.5065  0.7101  3 Tb 3.31-3.58, 4 Sm 3.40-3.55, 1 Ho 3.41
Ho  0.4935  0.7132  0.7899  3 Tb 3.31-3.58, 4 Sm 3.40-3.55, 1 Ho 3.41
Ho  0.5065  0.2868  0.2101  3 Tb 3.31-3.58, 4 Sm 3.40-3.55, 1 Ho 3.41
Ho  0.7132  0.4935  0.2899  3 Tb 3.31-3.58, 4 Sm 3.40-3.55, 1 Ho 3.41

Results
For the magnetization, the calculation gives 0.0 μB/f.u.

Version Q
Tb4Sm3Ho2: relaxed, GGA-PBE.

a b c (Å): 6.1816 6.1934 9.4461
angles (deg): 70.94 89.96 60.10
Last column: nearest neighbours and their distance in Å.
Sites, in units of the cell vectors:
Tb  0.1658  0.1675  0.9999  5 Sm 3.57-3.58, 5 Tb 3.57-3.58, 2 Ho 3.57-3.58
Tb  0.2772  0.6123  0.3333  4 Ho 3.56-3.58, 5 Sm 3.57-3.59, 3 Tb 3.57-3.58
Tb  0.7228  0.3877  0.6667  4 Ho 3.56-3.58, 5 Sm 3.57-3.59, 3 Tb 3.57-3.58
Tb  0.8342  0.8325  0.0001  5 Sm 3.57-3.58, 5 Tb 3.57-3.58, 2 Ho 3.57-3.58
Sm  0.3886  0.0557  0.6663  2 Sm 3.56-3.58, 4 Ho 3.57-3.58, 6 Tb 3.57-3.59
Sm  0.5000  0.5000  0.0000  8 Tb 3.57-3.58, 2 Ho 3.58, 2 Sm 3.58
Sm  0.6114  0.9443  0.3337  2 Sm 3.56-3.58, 4 Ho 3.57-3.58, 6 Tb 3.57-3.59
Ho  0.0554  0.7224  0.6661  6 Tb 3.56-3.58, 5 Sm 3.57-3.58, 1 Ho 3.57
Ho  0.9446  0.2776  0.3339  6 Tb 3.56-3.58, 5 Sm 3.57-3.58, 1 Ho 3.57

Results
For the magnetization, the calculation gives 0.0 μB/f.u.

Most stable = version Q

Version P
Tb5Sm3Ho4: relaxed, GGA-PBE.

a b c (Å): 6.1725 7.1277 8.7234
angles (deg): 90.05 90.10 90.14
Last column: nearest neighbours and their distance in Å.
Sites, in units of the cell vectors:
Tb  0.0000  0.0000  0.0000  4 Tb 3.56, 4 Ho 3.56-3.57, 4 Sm 3.56
Tb  0.3339  0.5002  0.3336  3 Tb 3.55-3.57, 5 Ho 3.56-3.57, 4 Sm 3.56-3.57
Tb  0.4992  0.7511  0.0000  6 Tb 3.55-3.58, 3 Ho 3.56, 3 Sm 3.56-3.58
Tb  0.5008  0.2489  0.0000  6 Tb 3.55-3.58, 3 Ho 3.56, 3 Sm 3.56-3.58
Tb  0.6661  0.4998  0.6664  3 Tb 3.55-3.57, 5 Ho 3.56-3.57, 4 Sm 3.56-3.57
Sm  0.0000  0.5000  0.0000  8 Tb 3.56-3.58, 2 Ho 3.57, 2 Sm 3.57
Sm  0.1662  0.2490  0.6659  6 Ho 3.55-3.58, 5 Tb 3.56-3.57, 1 Sm 3.57
Sm  0.8338  0.7510  0.3341  6 Ho 3.55-3.58, 5 Tb 3.56-3.57, 1 Sm 3.57
Ho  0.1676  0.7508  0.6662  3 Ho 3.55-3.57, 4 Sm 3.55-3.58, 5 Tb 3.56-3.57
Ho  0.3336  0.0003  0.3335  4 Ho 3.55-3.57, 3 Sm 3.55-3.57, 5 Tb 3.56
Ho  0.6664  0.9997  0.6665  4 Ho 3.55-3.57, 3 Sm 3.55-3.57, 5 Tb 3.56
Ho  0.8324  0.2492  0.3338  3 Ho 3.55-3.57, 4 Sm 3.55-3.58, 5 Tb 3.56-3.57

Results
For the magnetization, the calculation gives 0.0 μB/f.u.

Version Q
Tb5Sm3Ho4: relaxed, GGA-PBE.

a b c (Å): 8.5352 8.5352 9.2591
angles (deg): 114.43 114.43 40.44
Last column: nearest neighbours and their distance in Å.
Sites, in units of the cell vectors:
Tb  0.0000  0.0000  0.0000  4 Sm 2.95-3.06
Tb  0.3269  0.3269  0.6119  4 Sm 3.20-3.45, 3 Ho 3.43-3.53
Tb  0.4256  0.4256  0.3020  2 Sm 3.25-3.49, 1 Tb 3.38, 2 Ho 3.61
Tb  0.5744  0.5744  0.6980  2 Sm 3.25-3.49, 1 Tb 3.38, 2 Ho 3.61
Tb  0.6731  0.6731  0.3881  4 Sm 3.20-3.45, 3 Ho 3.43-3.53
Sm  0.2080  0.2080  0.2293  3 Tb 3.06-3.25, 2 Ho 3.28-3.39
Sm  0.5000  0.5000  0.0000  2 Tb 2.95
Sm  0.7920  0.7920  0.7707  3 Tb 3.06-3.25, 2 Ho 3.28-3.39
Ho  0.0814  0.0814  0.4412  1 Ho 3.24, 1 Sm 3.39, 3 Tb 3.43-3.53
Ho  0.2110  0.2110  0.8774  3 Sm 3.28-3.53, 3 Ho 3.59-3.64, 2 Tb 3.61
Ho  0.7890  0.7890  0.1226  3 Sm 3.28-3.53, 3 Ho 3.59-3.64, 2 Tb 3.61
Ho  0.9186  0.9186  0.5588  1 Ho 3.24, 1 Sm 3.39, 3 Tb 3.43-3.53

Results
For the magnetization, the calculation gives 0.2 μB/f.u.

Most stable = version P

Version P
Tb8SmHo2: relaxed, GGA-PBE.

a b c (Å): 9.3377 9.3377 9.3377
angles (deg): 145.53 128.34 63.60
Last column: nearest neighbours and their distance in Å.
Sites, in units of the cell vectors:
Tb  0.1555  0.3617  0.7938  1 Sm 3.25, 4 Tb 3.36-3.57, 3 Ho 3.38-3.51
Tb  0.1632  0.1632  0.0000  2 Ho 3.52, 8 Tb 3.53-3.68, 2 Sm 3.79
Tb  0.2948  0.0000  0.2948  7 Tb 3.34-3.53, 2 Ho 3.59, 2 Sm 3.66
Tb  0.4321  0.6383  0.7938  1 Sm 3.25, 4 Tb 3.36-3.57, 3 Ho 3.38-3.51
Tb  0.5679  0.3617  0.2062  1 Sm 3.25, 4 Tb 3.36-3.57, 3 Ho 3.38-3.51
Tb  0.7052  0.0000  0.7052  7 Tb 3.34-3.53, 2 Ho 3.59, 2 Sm 3.66
Tb  0.8368  0.8368  0.0000  2 Ho 3.52, 8 Tb 3.53-3.68, 2 Sm 3.79
Tb  0.8445  0.6383  0.2062  1 Sm 3.25, 4 Tb 3.36-3.57, 3 Ho 3.38-3.51
Sm  0.0000  0.5000  0.5000  4 Tb 3.25
Ho  0.3001  0.8001  0.5000  10 Tb 3.38-3.59
Ho  0.6999  0.1999  0.5000  10 Tb 3.38-3.59

Results
For the magnetization, the calculation gives 0.0 μB/f.u.

Version Q
Tb8SmHo2: relaxed, GGA-PBE.

a b c (Å): 9.3320 9.3320 5.8934
angles (deg): 105.93 105.93 122.16
Last column: nearest neighbours and their distance in Å.
Sites, in units of the cell vectors:
Tb  0.0984  0.3392  0.6852  4 Tb 3.21-3.56, 2 Ho 3.48-3.49
Tb  0.2054  0.7946  0.0000  1 Sm 3.36, 4 Ho 3.40-3.74, 6 Tb 3.56-3.66
Tb  0.3392  0.0984  0.6852  4 Tb 3.21-3.56, 2 Ho 3.48-3.49
Tb  0.4327  0.4327  0.2075  3 Tb 2.93-3.21
Tb  0.5673  0.5673  0.7925  3 Tb 2.93-3.21
Tb  0.6608  0.9016  0.3148  4 Tb 3.21-3.56, 2 Ho 3.48-3.49
Tb  0.7946  0.2054  0.0000  1 Sm 3.36, 4 Ho 3.40-3.74, 6 Tb 3.56-3.66
Tb  0.9016  0.6608  0.3148  4 Tb 3.21-3.56, 2 Ho 3.48-3.49
Sm  0.0000  0.0000  0.0000  4 Tb 3.36-3.37
Ho  0.3095  0.6905  0.5000  10 Tb 3.40-3.74
Ho  0.6905  0.3095  0.5000  10 Tb 3.40-3.74

Results
For the magnetization, the calculation gives 0.0 μB/f.u.

Most stable = version P